# AgGe3Te

An optimized crystal structure of AgGe3Te (PBE, the Alexandria database).

a b c (Å): 5.054 5.054 5.054
angles (deg): 90.00 90.00 90.00
Element x y z (fractional)
Ag1 0.000 0.000 0.000
Ge1 0.000 0.000 0.500
Ge2 0.500 0.000 0.000
Ge3 0.000 0.500 0.000
Te1 0.500 0.500 0.500

Values from the calculation:
Space group   Pm-3m
Relative energy among the computed polymorphs   0 meV/atom
Raw formation energy   583 meV per atom


# CaPa2P4

An optimized crystal structure of CaPa2P4 (PBE, the Alexandria database).

a b c (Å): 7.246 7.246 7.246
angles (deg): 109.21 109.99 109.21
Element x y z (fractional)
Pa1 0.239 0.614 0.125
Pa2 0.511 0.386 0.625
Pa3 0.875 0.114 0.489
Pa4 0.375 0.886 0.761
P1 0.614 0.757 0.530
P2 0.143 0.916 0.386
P3 0.470 0.084 0.227
P4 0.280 0.257 0.864
P5 0.977 0.584 0.720
P6 0.773 0.243 0.857
P7 0.136 0.416 0.393
P8 0.607 0.743 0.023
Ca1 0.750 0.500 0.250
Ca2 0.000 0.000 0.000

Values from the calculation:
Space group   I-42d
ΔE_f   -1.14 eV per atom


# Th3Sb6Pd20

An optimized crystal structure of Th3Sb6Pd20 (PBE, the Alexandria database).

a b c (Å): 9.251 9.251 9.251
angles (deg): 60.00 60.00 60.00
Element x y z (fractional)
Pd1 0.000 0.000 0.649
Pd2 0.351 0.000 0.649
Pd3 0.000 0.351 0.000
Pd4 0.351 0.649 0.000
Pd5 0.649 0.351 0.000
Pd6 0.875 0.375 0.375
Pd7 0.649 0.000 0.000
Pd8 0.375 0.875 0.375
Pd9 0.000 0.000 0.351
Pd10 0.125 0.625 0.625
Pd11 0.351 0.000 0.000
Pd12 0.000 0.351 0.649
Pd13 0.625 0.625 0.125
Pd14 0.375 0.375 0.375
Pd15 0.649 0.000 0.351
Pd16 0.625 0.625 0.625
Pd17 0.625 0.125 0.625
Pd18 0.000 0.649 0.351
Pd19 0.375 0.375 0.875
Pd20 0.000 0.649 0.000
Sb1 0.270 0.270 0.730
Sb2 0.270 0.730 0.730
Sb3 0.270 0.730 0.270
Sb4 0.730 0.270 0.270
Sb5 0.730 0.270 0.730
Sb6 0.730 0.730 0.270
Th1 0.750 0.750 0.750
Th2 0.000 0.000 0.000
Th3 0.250 0.250 0.250

Values from the calculation:
Space group   Fm-3m
Raw formation energy   -543 meV per atom


# SmZrGa5Pd2

An optimized crystal structure of SmZrGa5Pd2 (PBE, the Alexandria database).

a b c (Å): 4.797 4.797 7.685
angles (deg): 90.00 90.00 90.00
Element x y z (fractional)
Pd1 0.500 0.500 0.830
Pd2 0.500 0.500 0.170
Ga1 0.000 0.500 0.770
Ga2 0.500 0.500 0.500
Ga3 0.500 0.000 0.230
Ga4 0.500 0.000 0.770
Ga5 0.000 0.500 0.230
Zr1 0.000 0.000 0.000
Sm1 0.000 0.000 0.500

Values from the calculation:
Space group   P4/mmm
ΔE_f   -0.36 eV per atom


# KSr2SbBr8

An optimized crystal structure of KSr2SbBr8 (PBE, the Alexandria database).

a b c (Å): 7.162 6.901 9.427
angles (deg): 90.00 90.00 90.08
Element x y z (fractional)
Br1 0.154 0.766 0.784
Br2 0.672 0.753 0.000
Br3 0.359 0.269 0.500
Br4 0.641 0.731 0.500
Br5 0.846 0.234 0.784
Br6 0.328 0.247 0.000
Br7 0.154 0.766 0.216
Br8 0.846 0.234 0.216
Sr1 0.500 0.500 0.251
Sr2 0.500 0.500 0.749
K1 0.000 0.000 0.500
Sb1 0.000 0.000 0.000

Values from the calculation:
Space group   P2/m
Raw formation energy   -1523 meV per atom


# CaLa2PrY2

An optimized crystal structure of CaLa2PrY2 (PBE, the Alexandria database).

a b c (Å): 3.481 6.739 18.861
angles (deg): 90.00 90.00 90.00
Element x y z (fractional)
Y1 0.000 0.300 0.146
Y2 0.500 0.800 0.354
Y3 0.500 0.200 0.646
Y4 0.000 0.700 0.854
La1 0.500 0.294 0.308
La2 0.500 0.706 0.692
La3 0.000 0.794 0.192
La4 0.000 0.206 0.808
Ca1 0.000 0.000 0.000
Ca2 0.500 0.500 0.500
Pr1 0.000 0.000 0.500
Pr2 0.500 0.500 0.000

Values from the calculation:
Space group   Pnnm
ΔE_f   0.25 eV per atom


# HoU2Ga9

An optimized crystal structure of HoU2Ga9 (PBE, the Alexandria database).

a b c (Å): 4.256 4.256 12.809
angles (deg): 90.00 90.00 90.00
Site moments in Bohr magnetons follow the coordinates.
Element x y z (fractional)
Ga1 0.500 0.500 0.000  0.00
Ga2 0.000 0.500 0.833  0.01
Ga3 0.500 0.000 0.167  0.01
Ga4 0.500 0.500 0.665  0.03
Ga5 0.500 0.500 0.335  0.03
Ga6 0.000 0.500 0.167  0.01
Ga7 0.000 0.500 0.500  0.03
Ga8 0.500 0.000 0.833  0.01
Ga9 0.500 0.000 0.500  0.03
U1 0.000 0.000 0.333  2.03
U2 0.000 0.000 0.667  2.03
Ho1 0.000 0.000 0.000  0.00

Values from the calculation:
Space group   P4/mmm
ΔE_f   -0.34 eV per atom


# Be2PF

An optimized crystal structure of Be2PF (PBE, the Alexandria database).

a b c (Å): 3.497 3.497 14.787
angles (deg): 90.00 90.00 60.00
Element x y z (fractional)
P1 0.668 0.332 0.833
P2 0.332 0.000 0.167
P3 0.000 0.668 0.500
F1 0.334 0.000 0.667
F2 0.000 0.666 0.000
F3 0.666 0.334 0.333
Be1 0.999 0.666 0.105
Be2 0.666 0.334 0.229
Be3 0.001 0.666 0.895
Be4 0.666 0.334 0.438
Be5 0.334 0.999 0.771
Be6 0.334 0.001 0.562

Values from the calculation:
Space group   P3_221
Relative energy among the computed polymorphs   51 meV/atom
Raw formation energy   -1258 meV per atom


| no. | total magnetic moment (μB per formula unit) |
| --- | --- |
| 1 | 0.00 |
| 2 | 0.00 |
| 3 | 0.00 |
| 4 | 0.00 |
| 5 | 0.00 |
| 6 | 0.00 |
| 7 | 4.65 |
| 8 | 0.00 |